A geometry-optimized HgTe2Br2 structure, computed with GGA-PBE.

The space group is I4/mmm (No. 139) and the conventional cell measures 6.0315, 6.0315 and 10.3867 Å, with angles of 90.00, 90.00 and 90.00 degrees. The distinct sites, in fractional coordinates, are Hg at (0.0000, 0.0000, 0.0000), Te at (0.0000, 0.0000, 0.3789) and Br at (0.0000, 0.5000, 0.2500).

The magnetic moment comes out at 0.000 μB/atom. For the formation energy (no corrections), the calculation gives 5.41 kJ/mol of atoms. Its uncorrected energy is -1.9301 eV/atom.

A geometry-optimized HgTeBr structure, computed with GGA-PBE.

The space group is P3m1 (No. 156) and the conventional cell measures 4.3993, 4.3993 and 5.5792 Å, with angles of 90.00, 90.00 and 120.00 degrees. The distinct sites, in fractional coordinates, are Hg at (0.0000, 0.0000, 0.0000), Te at (0.6667, 0.3333, 0.2397) and Br at (0.3333, 0.6667, 0.6660).

The magnetic moment comes out at 0.000 μB/atom. For the formation energy (no corrections), the calculation gives -0.01 kJ/mol of atoms. Its uncorrected energy is -1.7056 eV/atom.

A geometry-optimized HgTeBr structure, computed with GGA-PBE.

The space group is P3m1 (No. 156) and the conventional cell measures 3.9018, 3.9018 and 7.4444 Å, with angles of 90.00, 90.00 and 120.00 degrees. The distinct sites, in fractional coordinates, are Hg at (0.0000, 0.0000, 0.0000), Te at (0.3333, 0.6667, 0.2624) and Br at (0.6667, 0.3333, 0.7577).

The magnetic moment comes out at 0.000 μB/atom. For the formation energy (no corrections), the calculation gives -2.89 kJ/mol of atoms. Its uncorrected energy is -1.7354 eV/atom.